Na3YEr2S6 | PBE-GGA | optimized geometry

Calculated values
Calculated volume (Å³ per cell): 272.5
Crystal system: monoclinic
Energy relative to the elements, uncorrected (meV/atom): -1854
Space-group type: No. 12

POSCAR file:
```
Na3YEr2S6
1.0
3.431 -5.943 0.000
3.431 5.943 0.000
-2.287 0.000 6.681
Na Y Er S
3 1 2 6
Direct
0.000 0.000 0.000
0.333 0.667 0.000
0.667 0.333 0.000
0.500 0.500 0.500
0.167 0.833 0.500
0.833 0.167 0.500
0.089 0.425 0.274
0.239 0.239 0.726
0.425 0.089 0.274
0.575 0.911 0.726
0.761 0.761 0.274
0.911 0.575 0.726
```


GaReSbTe2 | PBE-GGA | optimized geometry

Calculated values
Calculated volume (Å³ per cell): 145.7
Crystal system: tetragonal
Energy relative to the elements, uncorrected (meV/atom): 1469
Space-group type: No. 123

POSCAR file:
```
GaReSbTe2
1.0
5.299 0.000 0.000
0.000 5.299 0.000
0.000 0.000 5.187
Ga Re Sb Te
1 1 1 2
Direct
0.000 0.000 0.000
0.500 0.500 0.500
0.000 0.000 0.500
0.000 0.500 0.000
0.500 0.000 0.000
```


TlCd2Ni | PBE-GGA | optimized geometry

Calculated values
Calculated volume (Å³ per cell): 253.5
Crystal system: trigonal
Space-group type: No. 160
Energy relative to the elements (meV/atom): 221.1

POSCAR file:
```
TlCd2Ni
1.0
3.307 0.000 0.000
-1.654 2.864 0.000
0.000 0.000 26.755
Tl Cd Ni
3 6 3
Direct
0.000 0.000 0.000
0.333 0.667 0.667
0.667 0.333 0.333
0.000 0.000 0.524
0.000 0.000 0.763
0.333 0.667 0.191
0.333 0.667 0.430
0.667 0.333 0.096
0.667 0.333 0.857
0.000 0.000 0.261
0.333 0.667 0.927
0.667 0.333 0.594
```


Li4Mg2Al | PBE-GGA | optimized geometry

Calculated values
Calculated volume (Å³ per cell): 276.9
Crystal system: monoclinic
Space-group type: No. 12
Energy relative to the elements (meV/atom): -10.8

POSCAR file:
```
Li4Mg2Al
1.0
9.645 0.000 0.000
0.000 2.898 0.000
-2.098 0.000 9.908
Li Mg Al
8 4 2
Direct
0.082 0.000 0.255
0.203 0.000 0.878
0.297 0.500 0.122
0.418 0.500 0.745
0.582 0.500 0.255
0.703 0.500 0.878
0.797 0.000 0.122
0.918 0.000 0.745
0.151 0.000 0.580
0.349 0.500 0.420
0.651 0.500 0.580
0.849 0.000 0.420
0.000 0.500 0.000
0.500 0.000 0.000
```


La5Nd2Tm4 | PBE-GGA | optimized geometry

Calculated values
Calculated volume (Å³ per cell): 386.1
Crystal system: monoclinic
Space-group type: No. 12
Energy relative to the elements (meV/atom): 138.1

POSCAR file:
```
La5Nd2Tm4
1.0
9.084 -1.804 0.000
9.084 1.804 0.000
-3.551 0.000 11.777
La Nd Tm
5 2 4
Direct
0.000 0.000 0.000
0.334 0.334 0.991
0.381 0.381 0.483
0.619 0.619 0.517
0.666 0.666 0.009
0.172 0.172 0.281
0.828 0.828 0.719
0.171 0.171 0.769
0.494 0.494 0.251
0.506 0.506 0.749
0.829 0.829 0.231
```


Zr2H2Br7 | PBE-GGA | optimized geometry

Calculated values
Calculated volume (Å³ per cell): 350.6
Crystal system: monoclinic
Space-group type: No. 12
Calculated total energy (eV/atom): -3.834

POSCAR file:
```
Zr2H2Br7
1.0
5.981 -3.908 0.000
5.981 3.908 0.000
-0.928 0.000 7.499
Zr H Br
2 2 7
Direct
0.242 0.242 0.033
0.758 0.758 0.967
0.209 0.791 0.500
0.791 0.209 0.500
0.000 0.000 0.000
0.071 0.506 0.769
0.435 0.435 0.200
0.494 0.929 0.231
0.506 0.071 0.769
0.565 0.565 0.800
0.929 0.494 0.231
```